VASP calculation (GGA-PBE) on RbScAsSe2 after structural relaxation.

Cell: 5.5769 5.5769 5.3671 Å, 90.00 90.00 90.00°
Fractional coordinates of all 5 atoms:
Rb1 0.0000 0.0000 0.0000
Sc1 0.5000 0.5000 0.5000
As1 0.0000 0.0000 0.5000
Se1 0.0000 0.5000 0.0000
Se2 0.5000 0.0000 0.0000

Output
Uncorrected formation energy ... 0.9561 eV per atom